No. 1
Here is an optimized crystal structure of Li16Ca2Tl from the Alexandria database. Energies are from PBE.

Values from the calculation:
- Energy: -1.97 eV per atom

Cell: 7.545 7.545 7.545 Å, 83.70 83.70 83.70°
Fractional positions:
Li: 0.008 0.496 0.496
Li: 0.043 0.043 0.043
Li: 0.146 0.431 0.863
Li: 0.146 0.863 0.431
Li: 0.151 0.151 0.638
Li: 0.151 0.638 0.151
Li: 0.290 0.789 0.789
Li: 0.431 0.146 0.863
Li: 0.431 0.863 0.146
Li: 0.496 0.008 0.496
Li: 0.496 0.496 0.008
Li: 0.638 0.151 0.151
Li: 0.789 0.291 0.789
Li: 0.789 0.789 0.290
Li: 0.863 0.146 0.431
Li: 0.863 0.431 0.146
Ca: 0.486 0.486 0.486
Ca: 0.798 0.798 0.798
Tl: 0.245 0.245 0.245

No. 2
Here is an optimized crystal structure of Cs3K8Na2 from the Alexandria database. Energies are from PBE.

Values from the calculation:
- Energy: -1.04 eV per atom

Cell: 10.453 6.942 14.047 Å, 90.00 103.37 90.00°
Fractional positions:
Cs: 0.000 0.000 0.000
Cs: 0.275 0.500 0.920
Cs: 0.725 0.500 0.080
K: 0.078 0.000 0.657
K: 0.193 0.500 0.268
K: 0.350 0.500 0.594
K: 0.466 0.000 0.192
K: 0.534 0.000 0.808
K: 0.650 0.500 0.406
K: 0.807 0.500 0.732
K: 0.922 0.000 0.343
Na: 0.330 0.000 0.440
Na: 0.670 0.000 0.560

No. 3
Here is an optimized crystal structure of Li2Cd2AsO6 from the Alexandria database. Energies are from PBE.

Values from the calculation:
- Formation energy from raw total energies: -11.437 eV per formula unit

Cell: 5.850 5.850 5.850 Å, 57.41 57.41 57.41°
Fractional positions:
Li: 0.088 0.088 0.088
Li: 0.912 0.912 0.912
Cd: 0.294 0.294 0.294
Cd: 0.706 0.706 0.706
As: 0.500 0.500 0.500
O: 0.272 0.272 0.721
O: 0.272 0.721 0.272
O: 0.279 0.728 0.728
O: 0.721 0.272 0.272
O: 0.728 0.279 0.728
O: 0.728 0.728 0.279

No. 4
Here is an optimized crystal structure of CeMg2Hg from the Alexandria database. Energies are from PBE.

Values from the calculation:
- Energy: -2.42 eV per atom

Cell: 3.202 3.202 32.225 Å, 90.00 90.00 120.00°
Fractional positions:
Ce: 0.000 0.000 0.000
Ce: 0.333 0.667 0.667
Ce: 0.667 0.333 0.333
Mg: 0.000 0.000 0.575
Mg: 0.000 0.000 0.757
Mg: 0.333 0.667 0.242
Mg: 0.333 0.667 0.423
Mg: 0.667 0.333 0.090
Mg: 0.667 0.333 0.909
Hg: 0.000 0.000 0.166
Hg: 0.333 0.667 0.832
Hg: 0.667 0.333 0.499

No. 5
Here is an optimized crystal structure of LiReAu2 from the Alexandria database. Energies are from PBE.

Values from the calculation:
- Energy: -4.41 eV per atom

Cell: 3.919 3.919 18.086 Å, 90.00 90.00 90.00°
Fractional positions:
Li: 0.000 0.000 0.000
Li: 0.000 0.500 0.250
Li: 0.500 0.000 0.750
Li: 0.500 0.500 0.500
Re: 0.000 0.000 0.500
Re: 0.000 0.500 0.750
Re: 0.500 0.000 0.250
Re: 0.500 0.500 0.000
Au: 0.246 0.250 0.125
Au: 0.250 0.746 0.375
Au: 0.250 0.754 0.875
Au: 0.254 0.250 0.625
Au: 0.746 0.750 0.625
Au: 0.750 0.246 0.875
Au: 0.750 0.254 0.375
Au: 0.754 0.750 0.125

No. 6
Here is an optimized crystal structure of Zr4Cd2Pd from the Alexandria database. Energies are from PBE.

Values from the calculation:
- Energy: -5.47 eV per atom

Cell: 5.009 5.009 14.477 Å, 90.00 90.00 90.00°
Fractional positions:
Zr: 0.000 0.000 0.184
Zr: 0.000 0.000 0.816
Zr: 0.000 0.500 0.000
Zr: 0.000 0.500 0.500
Zr: 0.500 0.000 0.000
Zr: 0.500 0.000 0.500
Zr: 0.500 0.500 0.316
Zr: 0.500 0.500 0.684
Cd: 0.000 0.000 0.380
Cd: 0.000 0.000 0.620
Cd: 0.500 0.500 0.120
Cd: 0.500 0.500 0.880
Pd: 0.000 0.000 0.000
Pd: 0.500 0.500 0.500